Record 1
A PBEsol-optimized structure of Ca3Al2H6SO8F8. Source: the Alexandria database, functional SCAN.

Properties
total moment = 0.2 μB per cell
crystal system = monoclinic
uncorrected energy = -458.2 eV for the cell shown

a = 8.198 Å, b = 8.198 Å, c = 9.872 Å
α = 92.90°, β = 92.90°, γ = 63.09°
Fractional positions:
Ca 0.027 0.464 0.192
Ca 0.034 0.966 0.750
Ca 0.464 0.027 0.692
Ca 0.536 0.973 0.308
Ca 0.966 0.034 0.250
Ca 0.973 0.536 0.808
Al 0.099 0.303 0.514
Al 0.303 0.099 0.014
Al 0.697 0.901 0.986
Al 0.901 0.697 0.486
H 0.174 0.694 0.985
H 0.235 0.505 0.422
H 0.306 0.826 0.515
H 0.315 0.576 0.872
H 0.424 0.685 0.628
H 0.495 0.765 0.078
H 0.505 0.235 0.922
H 0.576 0.315 0.372
H 0.685 0.424 0.128
H 0.694 0.174 0.485
H 0.765 0.495 0.578
H 0.826 0.306 0.015
S 0.344 0.656 0.250
S 0.656 0.344 0.750
O 0.119 0.496 0.433
O 0.165 0.682 0.186
O 0.184 0.668 0.886
O 0.318 0.835 0.314
O 0.332 0.816 0.614
O 0.405 0.518 0.357
O 0.482 0.595 0.143
O 0.496 0.119 0.933
O 0.504 0.881 0.067
O 0.518 0.405 0.857
O 0.595 0.482 0.643
O 0.668 0.184 0.386
O 0.682 0.165 0.686
O 0.816 0.332 0.114
O 0.835 0.318 0.814
O 0.881 0.504 0.567
F 0.016 0.261 0.347
F 0.041 0.138 0.579
F 0.133 0.332 0.975
F 0.138 0.041 0.079
F 0.207 0.322 0.680
F 0.261 0.016 0.847
F 0.322 0.207 0.180
F 0.332 0.133 0.475
F 0.668 0.867 0.525
F 0.678 0.793 0.820
F 0.739 0.984 0.153
F 0.793 0.678 0.320
F 0.862 0.959 0.921
F 0.867 0.668 0.025
F 0.959 0.862 0.421
F 0.984 0.739 0.653

Record 2
A PBEsol-optimized structure of Ba2HgRuCl. Source: the Alexandria database, functional SCAN.

Properties
raw formation energy = 0.03 eV/atom
total moment = 1.3 μB per cell
crystal system = tetragonal

a = 5.763 Å, b = 5.763 Å, c = 5.415 Å
α = 90.00°, β = 90.00°, γ = 90.00°
Fractional positions:
Ba 0.000 0.500 0.000
Ba 0.500 0.000 0.000
Hg 0.000 0.000 0.500
Ru 0.500 0.500 0.500
Cl 0.000 0.000 0.000

Repeat the first record exactly.
A PBEsol-optimized structure of Ca3Al2H6SO8F8. Source: the Alexandria database, functional SCAN.

Properties
total moment = 0.2 μB per cell
crystal system = monoclinic
uncorrected energy = -458.2 eV for the cell shown

a = 8.198 Å, b = 8.198 Å, c = 9.872 Å
α = 92.90°, β = 92.90°, γ = 63.09°
Fractional positions:
Ca 0.027 0.464 0.192
Ca 0.034 0.966 0.750
Ca 0.464 0.027 0.692
Ca 0.536 0.973 0.308
Ca 0.966 0.034 0.250
Ca 0.973 0.536 0.808
Al 0.099 0.303 0.514
Al 0.303 0.099 0.014
Al 0.697 0.901 0.986
Al 0.901 0.697 0.486
H 0.174 0.694 0.985
H 0.235 0.505 0.422
H 0.306 0.826 0.515
H 0.315 0.576 0.872
H 0.424 0.685 0.628
H 0.495 0.765 0.078
H 0.505 0.235 0.922
H 0.576 0.315 0.372
H 0.685 0.424 0.128
H 0.694 0.174 0.485
H 0.765 0.495 0.578
H 0.826 0.306 0.015
S 0.344 0.656 0.250
S 0.656 0.344 0.750
O 0.119 0.496 0.433
O 0.165 0.682 0.186
O 0.184 0.668 0.886
O 0.318 0.835 0.314
O 0.332 0.816 0.614
O 0.405 0.518 0.357
O 0.482 0.595 0.143
O 0.496 0.119 0.933
O 0.504 0.881 0.067
O 0.518 0.405 0.857
O 0.595 0.482 0.643
O 0.668 0.184 0.386
O 0.682 0.165 0.686
O 0.816 0.332 0.114
O 0.835 0.318 0.814
O 0.881 0.504 0.567
F 0.016 0.261 0.347
F 0.041 0.138 0.579
F 0.133 0.332 0.975
F 0.138 0.041 0.079
F 0.207 0.322 0.680
F 0.261 0.016 0.847
F 0.322 0.207 0.180
F 0.332 0.133 0.475
F 0.668 0.867 0.525
F 0.678 0.793 0.820
F 0.739 0.984 0.153
F 0.793 0.678 0.320
F 0.862 0.959 0.921
F 0.867 0.668 0.025
F 0.959 0.862 0.421
F 0.984 0.739 0.653

> What is the formula in the first record?

Ca3Al2H6SO8F8

> Which formula does entry 1 have?

Ca3Al2H6SO8F8